Record 1
Y3CuSb: optimized geometry, PBE.

V	146	Å³ per cell
ΔE_f (raw)	-245	meV per atom
symmetry	Pm-3m (221)
mass density	5.1	Mg/m³
total DFT energy (no corrections)	-5.767	eV per atom

Lattice parameters (Å, degrees): 5.2627 5.2627 5.2627 90.00 90.00 90.00
Sites, in units of the cell vectors:
Y 0.0000 0.0000 0.5000
Y 0.0000 0.5000 0.0000
Y 0.5000 0.0000 0.0000
Cu 0.0000 0.0000 0.0000
Sb 0.5000 0.5000 0.5000

Record 2
BaTeAs: optimized geometry, PBE.

V	439	Å³ per cell
ΔE_f (raw)	-522	meV per atom
symmetry	F-43m (216)
mass density	5.1	Mg/m³
total DFT energy (no corrections)	-3.760	eV per atom

Lattice parameters (Å, degrees): 7.5980 7.5980 7.5980 90.00 90.00 90.00
Sites, in units of the cell vectors:
Ba 0.0000 0.0000 0.0000
Ba 0.0000 0.5000 0.5000
Ba 0.5000 0.0000 0.5000
Ba 0.5000 0.5000 0.0000
Te 0.0000 0.0000 0.5000
Te 0.0000 0.5000 0.0000
Te 0.5000 0.0000 0.0000
Te 0.5000 0.5000 0.5000
As 0.2500 0.2500 0.7500
As 0.2500 0.7500 0.2500
As 0.7500 0.2500 0.2500
As 0.7500 0.7500 0.7500